Record 1
Compound: AcScTe2O8
Source: the Alexandria database
Functional: PBE-GGA
Structure: relaxed

Values from the calculation:
E_tot = -6.519 eV/atom
ΔE_f (raw) = -1.8195 eV per atom

Cell lengths 7.4499, 7.4499, 7.0562 Å; angles 90.00, 90.00, 90.00 degrees
Space group I-4m2 (No. 119)
Unique sites:
Ac  0.0000  0.0000  0.0000 x2
Sc  0.0000  0.5000  0.7500 x2
Te  0.0000  0.0000  0.5000 x2
Te  0.0000  0.5000  0.2500 x2
O  0.0000  0.2107  0.6916 x8
O  0.0000  0.3233  0.0677 x8

Record 2
Compound: Sr3LiRh
Source: the Alexandria database
Functional: PBE-GGA
Structure: relaxed

Values from the calculation:
E_tot = -2.580 eV/atom
Energy of formation = 283 meV per atom
Distance to the lowest polymorph of the same formula = 0.430 eV/atom

Cell lengths 11.1251, 11.5259, 6.0347 Å; angles 90.00, 90.00, 90.00 degrees
Space group Cmcm (No. 63)
Unique sites:
Sr  0.0000  0.0000  0.0000 x4
Sr  0.1705  0.3628  0.2500 x8
Li  0.0000  0.2589  0.7500 x4
Rh  0.0000  0.4651  0.7500 x4

| no. | D(E_F) (states/eV/cell) |
| --- | --- |
| 1 | 0.49 |
| 2 | 18.75 |